{"formula": "Li4Sb2H", "functional": "PBE", "state": "relaxed", "lattice": [[-2.3014, 2.3014, 6.2901], [2.3014, -2.3014, 6.2901], [2.3014, 2.3014, -6.2901]], "species": ["Li", "Li", "Li", "Li", "Sb", "Sb", "H"], "fractional_positions": [[0.0000, 0.5000, 0.5000], [0.1450, 0.1450, 0.0000], [0.5000, 0.0000, 0.5000], [0.8550, 0.8550, 0.0000], [0.3822, 0.3822, 0.0000], [0.6178, 0.6178, 0.0000], [0.0000, 0.0000, 0.0000]], "dos_at_fermi_per_ev_fu": 2.693, "vol_a3_per_atom": 19.0, "final_energy_ev_per_atom": -3.08}

---

{"formula": "Li4SbH2", "functional": "PBE", "state": "relaxed", "lattice": [[5.0378, 0.0000, 0.0000], [-1.5429, 5.2667, 0.0000], [-0.4947, -0.9265, 7.9796]], "species": ["Li", "Li", "Li", "Li", "Li", "Li", "Li", "Li", "Sb", "Sb", "H", "H", "H", "H"], "fractional_positions": [[0.0000, 0.0000, 0.0000], [0.0002, 0.0794, 0.6242], [0.0737, 0.2883, 0.3059], [0.0905, 0.5680, 0.5844], [0.3234, 0.6792, 0.1329], [0.4744, 0.0449, 0.4643], [0.5690, 0.3188, 0.0794], [0.5934, 0.5451, 0.5727], [0.4753, 0.9216, 0.8130], [0.8699, 0.7556, 0.3027], [0.2082, 0.3227, 0.1007], [0.2655, 0.3229, 0.5137], [0.3252, 0.6155, 0.8802], [0.7804, 0.3093, 0.6088]], "vol_a3_per_atom": 15.1, "final_energy_ev_per_atom": -3.03}